Crystalline HoReAgO6 at its relaxed geometry. Source: Alexandria, functional PBE-GGA.

Values from the calculation:
The formation energy (no corrections) is -1.687 eV per atom. As for the total magnetization: 0.0 μB per cell. The density of states at the Fermi level comes out at 0.342 states/eV/atom. The value obtained for the calculated volume is 128.8 Å³/cell.

Cell: 5.888 5.432 4.902 Å, 96.59 102.22 57.19°
Element x y z (fractional)
O1 0.017 0.342 0.265
O2 0.058 0.636 0.706
O3 0.559 0.045 0.276
O4 0.396 0.045 0.724
O5 0.640 0.342 0.735
O6 0.306 0.636 0.294
Ag1 0.008 0.984 0.000
Re1 0.336 0.328 0.500
Ho1 0.680 0.640 0.500